A plane-wave DFT calculation with GGA-PBEsol was carried out for crystalline Mo4RhSe at its relaxed geometry.

The calculated density is 9.8 g cm⁻³. The density of states at the Fermi level is 5.7 states/eV per cell. The total energy is -9.24 eV/atom. For the spin magnetization, the calculation gives 0.00 μB per formula unit. The uncorrected formation energy comes out at 3.62 eV per formula unit.

abc: 5.145 5.145 5.145
angles: 60.00 60.00 60.00
Element x y z (fractional)
Se: 0.000 0.000 0.000
Rh: 0.750 0.750 0.750
Mo: 0.375 0.375 0.375
Mo: 0.375 0.874 0.375
Mo: 0.874 0.375 0.375
Mo: 0.375 0.375 0.874